Density functional theory data (GGA-PBE) for crystalline Sm5TlGe2 at its relaxed geometry.

a = 9.108 Å, b = 9.108 Å, c = 9.108 Å
α = 128.20°, β = 128.20°, γ = 76.29°
Element x y z (fractional)
Sm: 0.000 0.000 0.000
Sm: 0.024 0.524 0.829
Sm: 0.195 0.024 0.500
Sm: 0.305 0.805 0.829
Sm: 0.476 0.305 0.500
Sm: 0.500 0.500 0.000
Sm: 0.524 0.695 0.500
Sm: 0.695 0.195 0.171
Sm: 0.805 0.976 0.500
Sm: 0.976 0.476 0.171
Tl: 0.250 0.250 0.000
Tl: 0.750 0.750 0.000
Ge: 0.137 0.363 0.500
Ge: 0.363 0.863 0.225
Ge: 0.637 0.137 0.775
Ge: 0.863 0.637 0.500

Summary:
Volume: 28.34 Å³ per atom
Total magnetization: 0.0 μB/cell
ΔE to the lowest computed polymorph: 0 meV/atom
Energy of formation: -58.1 kJ/mol of atoms